Record 1
Entry from the Alexandria database: an optimized crystal structure of Tb3Nd5Dy (PBE).

Summary:
E_form   0.27 eV/atom
E above lowest polymorph   0 meV per atom
Crystal system   monoclinic

Cell lengths 20.238, 6.295, 11.776 Å; angles 90.00, 122.91, 90.00 degrees
Space group C2/c (No. 15)
Unique sites:
1 Tb 0.000 0.000 0.000 x4
2 Tb 0.177 0.220 0.028 x8
3 Nd 0.000 0.408 0.250 x4
4 Nd 0.138 0.330 0.656 x8
5 Nd 0.180 0.179 0.332 x8
6 Dy 0.000 0.103 0.750 x4


Record 2
Entry from the Alexandria database: an optimized crystal structure of Tb2Nd6Dy (PBE).

Summary:
E_form   0.13 eV/atom
E above lowest polymorph   47 meV per atom
Crystal system   orthorhombic

Cell lengths 9.457, 17.809, 3.668 Å; angles 90.00, 90.00, 90.00 degrees
Space group Cmmm (No. 65)
Unique sites:
1 Tb 0.000 0.177 0.000 x4
2 Nd 0.176 0.335 0.500 x8
3 Nd 0.184 0.500 0.000 x4
4 Dy 0.000 0.000 0.500 x2


Record 3
Entry from the Alexandria database: an optimized crystal structure of TbNd2Dy9 (PBE).

Summary:
E_form   0.02 eV/atom
E above lowest polymorph   0 meV per atom
Crystal system   tetragonal

Cell lengths 5.043, 5.043, 15.129 Å; angles 90.00, 90.00, 90.00 degrees
Space group P4/mmm (No. 123)
Unique sites:
1 Tb 0.000 0.000 0.000 x1
2 Nd 0.000 0.000 0.333 x2
3 Dy 0.000 0.500 0.165 x4
4 Dy 0.000 0.500 0.500 x2
5 Dy 0.500 0.500 0.000 x1
6 Dy 0.500 0.500 0.332 x2


Record 4
Entry from the Alexandria database: an optimized crystal structure of TbNd6Dy8 (PBE).

Summary:
E_form   0.12 eV/atom
E above lowest polymorph   0 meV per atom
Crystal system   trigonal

Cell lengths 9.1336, 9.1336, 20.8830 Å; angles 90.00, 90.00, 120.00 degrees
Space group R-3 (No. 148, hexagonal axes)
Unique sites:
1 Tb 0.0000 0.0000 0.0000 x3
2 Nd 0.0610 0.2480 0.7099 x18
3 Dy 0.0000 0.0000 0.4233 x6
4 Dy 0.0807 0.5555 0.8073 x18


Record 5
Entry from the Alexandria database: an optimized crystal structure of Tb2Nd12Dy (PBE).

Summary:
E_form   0.15 eV/atom
Crystal system   orthorhombic

Cell lengths 7.217, 11.651, 25.055 Å; angles 90.00, 90.00, 90.00 degrees
Space group Cmme (No. 67)
Unique sites:
1 Tb 0.000 0.250 0.229 x4
2 Tb 0.000 0.250 0.767 x4
3 Nd 0.000 0.002 0.574 x8
4 Nd 0.000 0.024 0.060 x8
5 Nd 0.230 0.250 0.915 x8
6 Nd 0.249 0.250 0.371 x8
7 Nd 0.250 0.000 0.175 x8
8 Nd 0.250 0.000 0.302 x8
9 Dy 0.000 0.250 0.499 x4


Record 6
Entry from the Alexandria database: an optimized crystal structure of Tb5Nd8Dy (PBE).

Summary:
E_form   0.25 eV/atom
Crystal system   tetragonal

Cell lengths 9.733, 9.733, 10.302 Å; angles 90.00, 90.00, 90.00 degrees
Space group I-4 (No. 82)
Unique sites:
1 Tb 0.000 0.000 0.000 x2
2 Tb 0.108 0.205 0.426 x8
3 Nd 0.069 0.327 0.096 x8
4 Nd 0.087 0.180 0.754 x8
5 Dy 0.000 0.500 0.750 x2